# Ac3Al2Ge2, optimized geometry, DFT GGA-PBE
# - DOS at the Fermi energy (states/eV/cell) = 9.96
# - calculated formation energy (kcal/mol of atoms) = -14.17
data_Ac3Al2Ge2
_symmetry_space_group_name_H-M 'I m m m'
_symmetry_Int_Tables_number 71
_symmetry_space_group_name_Hall '-I 2 2'
_cell_length_a 4.272
_cell_length_b 4.755
_cell_length_c 19.841
_cell_angle_alpha 90.00
_cell_angle_beta 90.00
_cell_angle_gamma 90.00
loop_
_atom_site_label
_atom_site_fract_x
_atom_site_fract_y
_atom_site_fract_z
Ac1 0.000 0.000 0.000
Ac2 0.000 0.500 0.315
Al1 0.000 0.000 0.435
Ge1 0.000 0.500 0.140